(1)
11
Lattice="3.414 -5.917 0.000 3.414 5.917 0.000 -2.287 0.000 6.620" Properties=species:S:1:pos:R:3 comment="Pu2Sc3Se6 | Alexandria via LeMat-Bulk | PBE | relaxed" n_ef_per_ev_cell=23.48 e_form_raw_mev_per_atom=-1639 rho_g_cm3=6.81 magmom_total_mub_per_fu=11.71 space_group="C2/m (12)" pbc="T T T"
Pu 3.414 3.948 0.000
Pu 3.414 -3.948 0.000
Sc -1.144 0.000 3.310
Sc 2.270 1.985 3.310
Sc 2.270 -1.985 3.310
Se 0.008 1.943 4.852
Se 1.166 0.000 1.768
Se 0.008 -1.943 4.852
Se 4.532 1.943 1.767
Se 3.375 0.000 4.852
Se 4.532 -1.943 1.767

=====

(2)
4
Lattice="2.596 -4.327 0.000 2.596 4.327 0.000 -1.053 0.000 2.479" Properties=species:S:1:pos:R:3 comment="LiScFe2 | Alexandria via LeMat-Bulk | PBE | relaxed" n_ef_per_ev_cell=4.27 rho_g_cm3=4.88 magmom_total_mub_per_fu=3.15 space_group="C2/m (12)" e_form_mev_per_atom=284 pbc="T T T"
Li 0.000 0.000 0.000
Sc 2.596 0.000 0.000
Fe 0.771 2.164 1.240
Fe 0.771 -2.164 1.240

=====

(3)
4
Lattice="0.000 3.485 3.485 3.485 0.000 3.485 3.485 3.485 0.000" Properties=species:S:1:pos:R:3 comment="LiPmGeAu | Alexandria via LeMat-Bulk | PBE | relaxed" n_ef_per_ev_cell=2.12 rho_g_cm3=8.27 magmom_total_mub_per_fu=0.00 space_group="F-43m (216)" e_form_mev_per_atom=-613 pbc="T T T"
Li 0.000 0.000 0.000
Pm 3.485 3.485 3.485
Ge 1.743 1.743 1.743
Au 5.228 5.228 5.228